Below is an optimized crystal structure of BiSe2BrN, with properties calculated at the GGA-PBE level.

Computed properties:
The value obtained for the formation energy (no corrections) is 1.230 eV/atom. For the density of states at the Fermi level, the calculation gives 5.4 states/eV per cell.

The structure in POSCAR format:
```
BiSe2BrN
1.0
5.6342 0.0000 0.0000
0.0000 5.6342 0.0000
0.0000 0.0000 5.8276
Bi Se Br N
1 2 1 1
direct
0.0000 0.0000 0.0000
0.0000 0.5000 0.0000
0.5000 0.0000 0.0000
0.0000 0.0000 0.5000
0.5000 0.5000 0.5000
```